*one*
Ca3SeN: relaxed, GGA-PBE.

a = 13.7931 Å, b = 10.5551 Å, c = 6.8754 Å
α = 90.00°, β = 96.32°, γ = 90.00°
With the nearest neighbours (Å) after each atom.
Space group C2/c (No. 15)
Asymmetric unit:
1 Ca 0.1221 0.1248 0.1362 [8 per cell]  1 N 2.32
2 Ca 0.1531 0.4649 0.9205 [8 per cell]  1 N 2.27
3 Ca 0.1746 0.2043 0.6303 [8 per cell]  2 N 2.33-2.45
4 Se 0.0000 0.0927 0.7500 [4 per cell]  6 Ca 2.88-3.00
5 Se 0.0000 0.3485 0.2500 [4 per cell]  4 Ca 3.03-3.05
6 N 0.2466 0.4037 0.6255 [8 per cell]  4 Ca 2.27-2.45

*two*
Ca3SeN: relaxed, GGA-PBE.

a = 4.8276 Å, b = 4.8276 Å, c = 4.8276 Å
α = 90.00°, β = 90.00°, γ = 90.00°
With the nearest neighbours (Å) after each atom.
Space group Pm-3m (No. 221)
Asymmetric unit:
1 Ca 0.0000 0.0000 0.5000 [3 per cell]  2 N 2.41
2 Se 0.5000 0.5000 0.5000 [1 per cell]  12 Ca 3.41
3 N 0.0000 0.0000 0.0000 [1 per cell]  6 Ca 2.41

Which one sits at the top of the stability order? *one* does.

*one*
Ca2SeN: relaxed, GGA-PBE.

a = 6.7832 Å, b = 6.7832 Å, c = 6.7832 Å
α = 90.00°, β = 90.00°, γ = 90.00°
With the nearest neighbours (Å) after each atom.
Space group Fm-3m (No. 225)
Asymmetric unit:
1 Ca 0.2500 0.2500 0.2500 [8 per cell]  4 Se 2.94, 4 N 2.94
2 Se 0.0000 0.0000 0.0000 [4 per cell]  8 Ca 2.94
3 N 0.0000 0.0000 0.5000 [4 per cell]  8 Ca 2.94

*two*
Ca2SeN: relaxed, GGA-PBE.

a = 6.9495 Å, b = 6.9495 Å, c = 7.5033 Å
α = 90.00°, β = 90.00°, γ = 90.00°
With the nearest neighbours (Å) after each atom.
Space group I-42d (No. 122)
Asymmetric unit:
1 Ca 0.1847 0.2500 0.1250 [8 per cell]  2 N 2.35
2 Se 0.0000 0.0000 0.5000 [4 per cell]  4 Ca 2.95
3 N 0.0000 0.0000 0.0000 [4 per cell]  4 Ca 2.35

Which one sits at the top of the stability order? *two* does.

*one*
Ca4SeN4: relaxed, GGA-PBE.

a = 6.3161 Å, b = 6.3584 Å, c = 8.9164 Å
α = 69.69°, β = 82.73°, γ = 71.11°
With the nearest neighbours (Å) after each atom.
Space group P-1 (No. 2)
Asymmetric unit:
1 Ca 0.0088 0.2901 0.4222 [2 per cell]  3 N 2.33-2.54
2 Ca 0.0984 0.8236 0.1634 [2 per cell]  1 N 2.24
3 Ca 0.2930 0.2949 0.0000 [2 per cell]  2 N 2.30
4 Ca 0.4853 0.2366 0.5752 [2 per cell]  3 N 2.33-2.54
5 Se 0.3068 0.7988 0.7959 [2 per cell]  3 N 1.77-1.84
6 N 0.0478 0.7286 0.8818 [2 per cell]  1 Se 1.84
7 N 0.2409 0.5615 0.3975 [2 per cell]  3 Ca 2.24-2.33
8 N 0.2554 0.9511 0.5896 [2 per cell]  1 Se 1.77
9 N 0.3267 0.0167 0.8814 [2 per cell]  1 Se 1.84

*two*
Ca4SeN4: relaxed, GGA-PBE.

a = 12.9231 Å, b = 3.6600 Å, c = 13.4543 Å
α = 90.00°, β = 90.00°, γ = 90.00°
With the nearest neighbours (Å) after each atom.
Space group Pnma (No. 62)
Asymmetric unit:
1 Ca 0.0083 0.2500 0.1155 [4 per cell]  4 N 2.25-2.51
2 Ca 0.0408 0.7500 0.3682 [4 per cell]  4 N 2.50-2.58
3 Ca 0.2335 0.7500 0.9681 [4 per cell]  1 N 2.21
4 Ca 0.2411 0.2500 0.7417 [4 per cell]  3 N 2.31-2.51
5 Se 0.1344 0.7500 0.5876 [4 per cell]  7 Ca 2.97-3.19
6 N 0.0930 0.2500 0.9675 [4 per cell]  1 N 1.31
7 N 0.1099 0.2500 0.2510 [4 per cell]  1 N 1.34
8 N 0.1323 0.2500 0.8776 [4 per cell]  1 N 1.31
9 N 0.1676 0.2500 0.3340 [4 per cell]  1 N 1.34

Which one sits at the top of the stability order? *two* does.

*one*
CaSiSe2N: relaxed, GGA-PBE.

a = 5.2636 Å, b = 5.2636 Å, c = 3.3610 Å
α = 90.00°, β = 90.00°, γ = 90.00°
With the nearest neighbours (Å) after each atom.
Space group P4/mmm (No. 123)
Asymmetric unit:
1 Ca 0.0000 0.0000 0.0000 [1 per cell]  8 Se 3.12, 2 Ca 3.36
2 Si 0.5000 0.5000 0.5000 [1 per cell]  2 N 1.68
3 Se 0.0000 0.5000 0.5000 [2 per cell]  2 Si 2.63
4 N 0.5000 0.5000 0.0000 [1 per cell]  2 Si 1.68

*two*
CaSiSe2N: relaxed, GGA-PBE.

a = 5.4821 Å, b = 5.4821 Å, c = 4.4430 Å
α = 90.00°, β = 90.00°, γ = 90.00°
With the nearest neighbours (Å) after each atom.
Space group P4/mmm (No. 123)
Asymmetric unit:
1 Ca 0.0000 0.0000 0.0000 [1 per cell]  2 N 2.22
2 Si 0.5000 0.5000 0.5000 [1 per cell]  8 Se 3.53, 4 N 3.88
3 Se 0.0000 0.5000 0.0000 [2 per cell]  2 Ca 2.74
4 N 0.0000 0.0000 0.5000 [1 per cell]  2 Ca 2.22

Which one sits at the top of the stability order? *one* does.

*one*
SrCaSe2N: relaxed, GGA-PBE.

a = 5.5392 Å, b = 5.5392 Å, c = 4.5957 Å
α = 90.00°, β = 90.00°, γ = 90.00°
With the nearest neighbours (Å) after each atom.
Space group P4/mmm (No. 123)
Asymmetric unit:
1 Sr 0.0000 0.0000 0.0000 [1 per cell]  8 Se 3.60, 4 N 3.92
2 Ca 0.5000 0.5000 0.5000 [1 per cell]  2 N 2.30
3 Se 0.0000 0.5000 0.5000 [2 per cell]  2 Ca 2.77
4 N 0.5000 0.5000 0.0000 [1 per cell]  2 Ca 2.30

*two*
SrCaSe2N: relaxed, GGA-PBE.

a = 5.7573 Å, b = 5.7573 Å, c = 4.7745 Å
α = 90.00°, β = 90.00°, γ = 90.00°
With the nearest neighbours (Å) after each atom.
Space group P4/mmm (No. 123)
Asymmetric unit:
1 Sr 0.0000 0.0000 0.0000 [1 per cell]  2 N 2.39
2 Ca 0.5000 0.5000 0.5000 [1 per cell]  8 Se 3.74, 4 N 4.07
3 Se 0.0000 0.5000 0.0000 [2 per cell]  2 Sr 2.88
4 N 0.0000 0.0000 0.5000 [1 per cell]  2 Sr 2.39

Which one sits at the top of the stability order? *one* does.

*one*
CaTaSeN2: relaxed, GGA-PBE.

a = 4.0738 Å, b = 4.0738 Å, c = 5.3421 Å
α = 90.00°, β = 90.00°, γ = 90.00°
With the nearest neighbours (Å) after each atom.
Space group P4/mmm (No. 123)
Asymmetric unit:
1 Ca 0.0000 0.0000 0.0000 [1 per cell]  4 Se 2.88
2 Ta 0.5000 0.5000 0.5000 [1 per cell]  4 N 2.04
3 Se 0.5000 0.5000 0.0000 [1 per cell]  2 Ta 2.67, 4 Ca 2.88
4 N 0.0000 0.5000 0.5000 [2 per cell]  2 Ta 2.04

*two*
CaTaSeN2: relaxed, GGA-PBE.

a = 4.1151 Å, b = 4.1151 Å, c = 5.2344 Å
α = 90.00°, β = 90.00°, γ = 90.00°
With the nearest neighbours (Å) after each atom.
Space group P4/mmm (No. 123)
Asymmetric unit:
1 Ca 0.0000 0.0000 0.0000 [1 per cell]  4 N 2.06
2 Ta 0.5000 0.5000 0.5000 [1 per cell]  4 Se 2.91
3 Se 0.0000 0.0000 0.5000 [1 per cell]  2 Ca 2.62, 4 Ta 2.91
4 N 0.0000 0.5000 0.0000 [2 per cell]  2 Ca 2.06

Which one sits at the top of the stability order? *one* does.